# 1
Entry from the Alexandria database: a relaxed Pr3Dy3Ho4 crystal (PBE).

Cell: 3.695 9.488 9.488 Å, 90.34 90.00 90.00°
Positions (direct):
Pr1 0.500 0.827 0.173
Pr2 0.500 0.325 0.326
Pr3 0.500 0.674 0.675
Dy1 0.000 0.494 0.998
Dy2 0.000 0.002 0.506
Dy3 0.500 0.174 0.826
Ho1 0.000 0.625 0.375
Ho2 0.000 0.373 0.627
Ho3 0.000 0.879 0.873
Ho4 0.000 0.127 0.121

Output
* energy: -45.46 eV for the cell shown

***

# 2
Entry from the Alexandria database: a relaxed Sm2NiP3Ir4 crystal (PBE).

Cell: 4.106 4.106 9.803 Å, 90.00 90.00 90.00°
Positions (direct):
Sm1 0.500 0.000 0.258
Sm2 0.000 0.500 0.742
Ni1 0.500 0.500 0.500
P1 0.000 0.000 0.500
P2 0.500 0.000 0.861
P3 0.000 0.500 0.139
Ir1 0.500 0.500 0.000
Ir2 0.000 0.000 0.000
Ir3 0.500 0.000 0.628
Ir4 0.000 0.500 0.372

Output
* energy: -75.81 eV for the cell shown

***

# 3
Entry from the Alexandria database: a relaxed Sr2ZrBeGa crystal (PBE).

Cell: 6.145 4.655 6.145 Å, 90.00 90.00 90.00°
Site moments in Bohr magnetons follow the coordinates.
Positions (direct):
Sr1 0.000 0.000 0.500  0.09
Sr2 0.500 0.000 0.000  0.05
Ga1 0.500 0.500 0.500  -0.01
Zr1 0.000 0.000 0.000  0.60
Be1 0.000 0.500 0.000  0.03

Output
* energy: -13.64 eV for the cell shown

***

# 4
Entry from the Alexandria database: a relaxed PmNdHoSn crystal (PBE).

Cell: 5.511 5.511 5.511 Å, 60.00 60.00 60.00°
Positions (direct):
Nd1 0.500 0.500 0.500
Ho1 0.750 0.750 0.750
Sn1 0.250 0.250 0.250
Pm1 0.000 0.000 0.000

Output
* energy: -19.15 eV for the cell shown

***

# 5
Entry from the Alexandria database: a relaxed AcPrN crystal (PBE).

Cell: 3.761 5.231 16.696 Å, 90.00 90.00 90.00°
Positions (direct):
Pr1 0.750 0.750 0.453
Pr2 0.250 0.250 0.047
Pr3 0.250 0.250 0.547
Pr4 0.750 0.750 0.953
N1 0.750 0.250 0.940
N2 0.250 0.750 0.560
N3 0.250 0.750 0.060
N4 0.750 0.250 0.440
Ac1 0.750 0.750 0.166
Ac2 0.250 0.250 0.334
Ac3 0.250 0.250 0.834
Ac4 0.750 0.750 0.666

Output
* energy relative to the lowest polymorph listed for this composition: 0.000 eV/atom
* energy: -78.46 eV for the cell shown
* E_form (uncorrected): -800 meV per atom

***

# 6
Entry from the Alexandria database: a relaxed Rb2Zr4Se7 crystal (PBE).

Cell: 6.863 6.863 8.950 Å, 90.00 90.00 120.00°
Positions (direct):
Rb1 0.667 0.333 0.000
Rb2 0.333 0.667 0.000
Zr1 0.000 0.000 0.700
Zr2 0.000 0.000 0.300
Zr3 0.667 0.333 0.500
Zr4 0.333 0.667 0.500
Se1 0.000 0.618 0.694
Se2 0.000 0.382 0.306
Se3 0.000 0.000 0.000
Se4 0.618 0.000 0.694
Se5 0.382 0.000 0.306
Se6 0.618 0.618 0.306
Se7 0.382 0.382 0.694

Output
* energy: -75.16 eV for the cell shown
* E_form (uncorrected): -1126 meV per atom

***

# 7
Entry from the Alexandria database: a relaxed AlTcMo2 crystal (PBE).

Cell: 4.409 4.409 3.126 Å, 90.00 90.00 90.00°
Positions (direct):
Mo1 0.000 0.000 0.000
Mo2 0.500 0.500 0.000
Tc1 0.500 0.000 0.500
Al1 0.000 0.500 0.500

Output
* energy: -35.54 eV for the cell shown

***

# 8
Entry from the Alexandria database: a relaxed La3Ta crystal (PBE).

Cell: 5.469 5.469 5.469 Å, 60.00 60.00 60.00°
Positions (direct):
La1 0.000 0.000 0.000
La2 0.500 0.500 0.500
La3 0.250 0.250 0.250
Ta1 0.750 0.750 0.750

Output
* energy: -24.79 eV for the cell shown

***

# 9
Entry from the Alexandria database: a relaxed TaSi2Te crystal (PBE).

Cell: 5.172 5.172 5.172 Å, 140.75 125.32 69.36°
Positions (direct):
Si1 0.978 0.978 0.000
Si2 0.785 0.285 0.500
Ta1 0.513 0.513 0.000
Te1 0.224 0.724 0.500

Output
* energy: -24.74 eV for the cell shown
* E_form (uncorrected): 275 meV per atom

***

# 10
Entry from the Alexandria database: a relaxed In3NiRu crystal (PBE).

Cell: 4.803 4.803 4.803 Å, 90.00 90.00 90.00°
Site moments in Bohr magnetons follow the coordinates.
Positions (direct):
Ru1 0.500 0.500 0.500  1.71
Ni1 0.000 0.000 0.000  -0.01
In1 0.000 0.500 0.000  0.01
In2 0.000 0.000 0.500  0.03
In3 0.500 0.000 0.000  0.00

Output
* energy relative to the lowest polymorph listed for this composition: 0.000 eV/atom
* energy: -20.07 eV for the cell shown

***

# 11
Entry from the Alexandria database: a relaxed PmHo7Hg2 crystal (PBE).

Cell: 5.346 8.796 8.796 Å, 117.88 90.00 90.00°
Site moments in Bohr magnetons follow the coordinates.
Positions (direct):
Pm1 0.000 0.000 0.000  0.19
Ho1 0.000 0.760 0.240  0.16
Ho2 0.000 0.240 0.760  0.16
Ho3 0.500 0.060 0.305  0.23
Ho4 0.500 0.940 0.695  0.23
Ho5 0.500 0.305 0.060  0.23
Ho6 0.500 0.695 0.940  0.23
Ho7 0.500 0.500 0.500  0.13
Hg1 0.500 0.695 0.305  0.02
Hg2 0.500 0.305 0.695  0.02

Output
* energy: -34.56 eV for the cell shown

***

# 12
Entry from the Alexandria database: a relaxed Ta3B3Mo crystal (PBE).

Cell: 5.773 5.773 5.925 Å, 85.94 85.94 107.60°
Positions (direct):
Ta1 0.652 0.652 0.339
Ta2 0.160 0.840 0.500
Ta3 0.840 0.160 0.500
Ta4 0.237 0.763 0.000
Ta5 0.763 0.237 0.000
Ta6 0.348 0.348 0.661
B1 0.953 0.953 0.155
B2 0.808 0.479 0.663
B3 0.479 0.808 0.663
B4 0.192 0.521 0.337
B5 0.521 0.192 0.337
B6 0.047 0.047 0.845
Mo1 0.731 0.731 0.867
Mo2 0.269 0.269 0.133

Output
* energy: -135.46 eV for the cell shown